No. 1
The following is a DFT calculation (GGA-PBE) of crystalline Ac5Al3Bi12 at its relaxed geometry.

a = 16.3166 Å, b = 16.3166 Å, c = 16.3166 Å
α = 109.47°, β = 109.47°, γ = 109.47°
Fractional positions:
Al: 0.7500 0.3750 0.1250
Al: 0.8750 0.7500 0.1250
Al: 0.3750 0.7500 0.6250
Al: 0.2500 0.1250 0.3750
Al: 0.8750 0.1250 0.2500
Al: 0.3750 0.6250 0.2500
Al: 0.6250 0.3750 0.7500
Al: 0.1250 0.8750 0.7500
Al: 0.7500 0.8750 0.6250
Al: 0.6250 0.2500 0.3750
Al: 0.1250 0.2500 0.8750
Al: 0.2500 0.6250 0.8750
Ac: 0.1250 0.3750 0.2500
Ac: 0.0000 0.5000 0.0000
Ac: 0.0000 0.0000 0.0000
Ac: 0.3750 0.2500 0.1250
Ac: 0.5000 0.0000 0.5000
Ac: 0.5000 0.5000 0.0000
Ac: 0.1250 0.7500 0.3750
Ac: 0.7500 0.1250 0.8750
Ac: 0.7500 0.6250 0.3750
Ac: 0.3750 0.1250 0.7500
Ac: 0.6250 0.8750 0.2500
Ac: 0.5000 0.5000 0.5000
Ac: 0.5000 0.0000 0.0000
Ac: 0.0000 0.0000 0.5000
Ac: 0.2500 0.3750 0.6250
Ac: 0.2500 0.8750 0.1250
Ac: 0.0000 0.5000 0.5000
Ac: 0.8750 0.2500 0.6250
Ac: 0.6250 0.7500 0.8750
Ac: 0.8750 0.6250 0.7500
Bi: 0.7554 0.1229 0.0798
Bi: 0.3244 0.5798 0.4569
Bi: 0.9202 0.3771 0.2446
Bi: 0.5798 0.2554 0.1229
Bi: 0.6325 0.7554 0.6756
Bi: 0.9202 0.5431 0.1756
Bi: 0.3244 0.7446 0.3675
Bi: 0.0431 0.8675 0.1229
Bi: 0.5431 0.9202 0.6756
Bi: 0.7554 0.6325 0.1756
Bi: 0.7446 0.4202 0.3771
Bi: 0.8244 0.9569 0.0798
Bi: 0.1229 0.7554 0.5798
Bi: 0.3771 0.4569 0.1325
Bi: 0.1325 0.9569 0.3771
Bi: 0.3675 0.1229 0.5431
Bi: 0.1325 0.1756 0.2554
Bi: 0.4202 0.6756 0.0431
Bi: 0.8244 0.8675 0.2446
Bi: 0.1229 0.3675 0.0431
Bi: 0.3771 0.9202 0.7446
Bi: 0.5431 0.6229 0.3675
Bi: 0.9569 0.8244 0.5798
Bi: 0.7446 0.3244 0.8675
Bi: 0.4569 0.3771 0.6325
Bi: 0.0431 0.1756 0.4202
Bi: 0.2554 0.6756 0.1325
Bi: 0.1756 0.1325 0.7554
Bi: 0.6229 0.0798 0.2554
Bi: 0.8771 0.6325 0.9569
Bi: 0.5798 0.3244 0.9569
Bi: 0.6325 0.8771 0.4569
Bi: 0.8675 0.8244 0.7446
Bi: 0.8675 0.0431 0.6229
Bi: 0.8771 0.2446 0.4202
Bi: 0.1756 0.0431 0.9202
Bi: 0.6229 0.5431 0.8675
Bi: 0.4569 0.0798 0.3244
Bi: 0.2446 0.3675 0.8244
Bi: 0.2554 0.5798 0.6229
Bi: 0.9569 0.1325 0.8771
Bi: 0.6756 0.2554 0.6325
Bi: 0.4202 0.7446 0.8771
Bi: 0.0798 0.4569 0.8244
Bi: 0.3675 0.2446 0.3244
Bi: 0.0798 0.6229 0.7554
Bi: 0.6756 0.4202 0.5431
Bi: 0.2446 0.8771 0.9202

Total energy   -0.1447 Ha/atom

---

No. 2
The following is a DFT calculation (GGA-PBE) of crystalline TbAlCu4 at its relaxed geometry.

a = 4.3046 Å, b = 6.4143 Å, c = 7.3901 Å
α = 90.00°, β = 106.93°, γ = 90.00°
Fractional positions:
Tb: 0.3843 0.7500 0.7687
Tb: 0.6157 0.2500 0.2313
Al: 0.1531 0.7500 0.3062
Al: 0.8469 0.2500 0.6938
Cu: 0.2510 0.4265 0.5020
Cu: 0.7490 0.5735 0.4980
Cu: 0.2510 0.0735 0.5020
Cu: 0.7490 0.9265 0.4980
Cu: 0.5752 0.7500 0.1505
Cu: 0.4248 0.2500 0.8495
Cu: 0.0000 0.5000 0.0000
Cu: 0.0000 0.0000 0.0000

Total energy   -0.1553 Ha/atom

---

No. 3
The following is a DFT calculation (GGA-PBE) of crystalline AcYMg2Ag4 at its relaxed geometry.

a = 4.8415 Å, b = 4.8415 Å, c = 9.8761 Å
α = 75.81°, β = 75.81°, γ = 60.00°
Fractional positions:
Ac: 0.0000 0.0000 0.0000
Y: 0.5000 0.5000 0.5000
Mg: 0.7601 0.7601 0.7198
Mg: 0.2399 0.2399 0.2802
Ag: 0.3965 0.3965 0.8104
Ag: 0.8825 0.8825 0.3524
Ag: 0.1175 0.1175 0.6476
Ag: 0.6035 0.6035 0.1896

Total energy   -0.1258 Ha/atom

---

No. 4
The following is a DFT calculation (GGA-PBE) of crystalline TcMo2W at its relaxed geometry.

a = 4.9844 Å, b = 4.9844 Å, c = 4.9844 Å
α = 133.94°, β = 133.94°, γ = 67.19°
Fractional positions:
Mo: 0.0000 0.0000 0.0000
Mo: 0.2500 0.7500 0.5000
Tc: 0.5000 0.5000 0.0000
W: 0.7500 0.2500 0.5000

Total energy   -0.4022 Ha/atom